## i
DFT (PBE) results for TlOsW after structural relaxation.

a = 4.574 Å, b = 4.574 Å, c = 2.871 Å
α = 90.00°, β = 90.00°, γ = 120.00°
Fractional coordinates of all 3 atoms:
Tl: 0.000 0.000 0.000
Os: 0.333 0.667 0.000
W: 0.667 0.333 0.500

Summary:
DOS(E_F): 2.92 states/eV/cell
Magnetic moment: 0.0 μB/cell

---

## ii
DFT (PBE) results for TlOsW after structural relaxation.

a = 2.961 Å, b = 3.846 Å, c = 9.306 Å
α = 90.00°, β = 90.00°, γ = 90.00°
Fractional coordinates of all 6 atoms:
Tl: 0.000 0.000 0.000
Tl: 0.500 0.500 0.500
Os: 0.000 0.000 0.315
Os: 0.500 0.500 0.815
W: 0.000 0.000 0.688
W: 0.500 0.500 0.188

Summary:
DOS(E_F): 3.77 states/eV/cell
Magnetic moment: 0.0 μB/cell

---

Least stable structure: i

---

## i
DFT (PBE) results for TlOs2W after structural relaxation.

a = 3.903 Å, b = 3.903 Å, c = 8.628 Å
α = 90.00°, β = 90.00°, γ = 90.00°
Fractional coordinates of all 8 atoms:
Tl: 0.000 0.000 0.000
Tl: 0.500 0.500 0.500
Os: 0.000 0.000 0.500
Os: 0.000 0.500 0.250
Os: 0.500 0.000 0.750
Os: 0.500 0.500 0.000
W: 0.000 0.500 0.750
W: 0.500 0.000 0.250

Summary:
DOS(E_F): 8.48 states/eV/cell
Magnetic moment: 0.0 μB/cell

---

## ii
DFT (PBE) results for TlOs2W after structural relaxation.

a = 4.602 Å, b = 4.602 Å, c = 3.137 Å
α = 90.00°, β = 90.00°, γ = 90.00°
Fractional coordinates of all 4 atoms:
Tl: 0.000 0.000 0.000
Os: 0.000 0.500 0.500
Os: 0.500 0.000 0.500
W: 0.500 0.500 0.000

Summary:
DOS(E_F): 2.60 states/eV/cell
Magnetic moment: 0.0 μB/cell

---

Least stable structure: ii

---

## i
DFT (PBE) results for TlOs2W after structural relaxation.

a = 2.890 Å, b = 4.880 Å, c = 9.678 Å
α = 90.00°, β = 90.00°, γ = 90.00°
Fractional coordinates of all 8 atoms:
Tl: 0.000 0.000 0.000
Tl: 0.500 0.500 0.500
Os: 0.000 0.500 0.227
Os: 0.000 0.500 0.773
Os: 0.500 0.000 0.273
Os: 0.500 0.000 0.727
W: 0.000 0.000 0.500
W: 0.500 0.500 0.000

Summary:
DOS(E_F): 8.54 states/eV/cell
Magnetic moment: 0.0 μB/cell

---

## ii
DFT (PBE) results for TlOs2W after structural relaxation.

a = 2.913 Å, b = 3.685 Å, c = 6.311 Å
α = 90.00°, β = 90.00°, γ = 90.00°
Fractional coordinates of all 4 atoms:
Tl: 0.000 0.000 0.000
Os: 0.500 0.500 0.282
Os: 0.500 0.500 0.718
W: 0.000 0.000 0.500

Summary:
DOS(E_F): 3.08 states/eV/cell
Magnetic moment: 0.0 μB/cell

---

Least stable structure: i

---

## i
DFT (PBE) results for TlOs2W after structural relaxation.

a = 2.828 Å, b = 2.828 Å, c = 8.387 Å
α = 90.00°, β = 90.00°, γ = 90.00°
Fractional coordinates of all 4 atoms:
Tl: 0.000 0.000 0.000
Os: 0.000 0.000 0.523
Os: 0.500 0.500 0.729
W: 0.500 0.500 0.281

Summary:
DOS(E_F): 3.26 states/eV/cell
Magnetic moment: 0.0 μB/cell

---

## ii
DFT (PBE) results for TlOs2W after structural relaxation.

a = 9.266 Å, b = 2.911 Å, c = 5.127 Å
α = 90.00°, β = 100.68°, γ = 90.00°
Fractional coordinates of all 8 atoms:
Tl: 0.000 0.000 0.000
Tl: 0.500 0.500 0.000
Os: 0.235 0.000 0.707
Os: 0.265 0.500 0.293
Os: 0.735 0.500 0.707
Os: 0.765 0.000 0.293
W: 0.000 0.500 0.500
W: 0.500 0.000 0.500

Summary:
DOS(E_F): 5.71 states/eV/cell
Magnetic moment: 0.0 μB/cell

---

## iii
DFT (PBE) results for TlOs2W after structural relaxation.

a = 2.937 Å, b = 2.937 Å, c = 7.831 Å
α = 90.00°, β = 90.00°, γ = 90.00°
Fractional coordinates of all 4 atoms:
Tl: 0.000 0.000 0.000
Os: 0.500 0.500 0.279
Os: 0.500 0.500 0.721
W: 0.000 0.000 0.500

Summary:
DOS(E_F): 4.28 states/eV/cell
Magnetic moment: 0.0 μB/cell

---

Least stable structure: ii

---

## i
DFT (PBE) results for TlOs2W after structural relaxation.

a = 4.167 Å, b = 4.167 Å, c = 7.568 Å
α = 90.00°, β = 90.00°, γ = 90.00°
Fractional coordinates of all 8 atoms:
Tl: 0.000 0.000 0.000
Tl: 0.500 0.500 0.500
Os: 0.000 0.500 0.250
Os: 0.000 0.500 0.750
Os: 0.500 0.000 0.250
Os: 0.500 0.000 0.750
W: 0.000 0.000 0.500
W: 0.500 0.500 0.000

Summary:
DOS(E_F): 5.69 states/eV/cell
Magnetic moment: 0.0 μB/cell

---

## ii
DFT (PBE) results for TlOs2W after structural relaxation.

a = 2.842 Å, b = 4.428 Å, c = 5.721 Å
α = 90.00°, β = 98.39°, γ = 90.00°
Fractional coordinates of all 4 atoms:
Tl: 0.000 0.000 0.000
Os: 0.141 0.500 0.297
Os: 0.859 0.500 0.703
W: 0.500 0.000 0.500

Summary:
DOS(E_F): 3.33 states/eV/cell
Magnetic moment: 0.0 μB/cell

---

## iii
DFT (PBE) results for TlOs2W after structural relaxation.

a = 2.909 Å, b = 4.893 Å, c = 9.599 Å
α = 90.00°, β = 90.00°, γ = 90.00°
Fractional coordinates of all 8 atoms:
Tl: 0.000 0.000 0.000
Tl: 0.500 0.500 0.000
Os: 0.000 0.000 0.494
Os: 0.000 0.500 0.263
Os: 0.500 0.000 0.263
Os: 0.500 0.500 0.494
W: 0.000 0.500 0.725
W: 0.500 0.000 0.725

Summary:
DOS(E_F): 9.98 states/eV/cell
Magnetic moment: 0.6 μB/cell

---

Least stable structure: iii

---

## i
DFT (PBE) results for TlOs2W after structural relaxation.

a = 2.870 Å, b = 2.870 Å, c = 28.174 Å
α = 90.00°, β = 90.00°, γ = 120.00°
Fractional coordinates of all 12 atoms:
Tl: 0.000 0.000 0.000
Tl: 0.333 0.667 0.667
Tl: 0.667 0.333 0.333
Os: 0.000 0.000 0.497
Os: 0.000 0.000 0.756
Os: 0.333 0.667 0.163
Os: 0.333 0.667 0.422
Os: 0.667 0.333 0.089
Os: 0.667 0.333 0.830
W: 0.000 0.000 0.241
W: 0.333 0.667 0.908
W: 0.667 0.333 0.575

Summary:
DOS(E_F): 6.69 states/eV/cell
Magnetic moment: 0.0 μB/cell

---

## ii
DFT (PBE) results for TlOs2W after structural relaxation.

a = 6.424 Å, b = 6.424 Å, c = 6.424 Å
α = 90.00°, β = 90.00°, γ = 90.00°
Fractional coordinates of all 16 atoms:
Tl: 0.000 0.000 0.000
Tl: 0.000 0.500 0.500
Tl: 0.500 0.000 0.500
Tl: 0.500 0.500 0.000
Os: 0.250 0.250 0.250
Os: 0.250 0.250 0.750
Os: 0.250 0.750 0.250
Os: 0.250 0.750 0.750
Os: 0.750 0.250 0.250
Os: 0.750 0.250 0.750
Os: 0.750 0.750 0.250
Os: 0.750 0.750 0.750
W: 0.000 0.000 0.500
W: 0.000 0.500 0.000
W: 0.500 0.000 0.000
W: 0.500 0.500 0.500

Summary:
DOS(E_F): 25.44 states/eV/cell
Magnetic moment: 0.0 μB/cell

---

Least stable structure: ii